The following is a DFT calculation (GGA-PBE) of an optimized crystal structure of Pr3PSe2.

Values from the calculation:
E_tot   -6.252 eV per atom
Formation energy without anion corrections   -1.80 eV per atom
Size of the total moment   0.0 μB per cell

Cell: 7.361 7.361 7.336 Å, 99.71 99.71 119.65°
Positions (direct):
Pr (0.000, 0.500, 0.500)
Pr (0.154, 0.308, 0.001)
Pr (0.308, 0.154, 0.501)
Pr (0.500, 0.000, 0.000)
Pr (0.692, 0.846, 0.499)
Pr (0.846, 0.692, 0.999)
P (0.086, 0.914, 0.750)
P (0.914, 0.086, 0.250)
Se (0.253, 0.747, 0.250)
Se (0.417, 0.583, 0.750)
Se (0.583, 0.417, 0.250)
Se (0.747, 0.253, 0.750)